# 1
First-principles (SCAN) data for a PBEsol-optimized structure of KNaP3, as listed in Alexandria.

Energy: -0.2875 hartree per atom
Formation enthalpy at 0 K: 0.92 eV per atom
Symmetry: Pm-3m (221)

abc: 4.946 4.946 4.946
angles: 90.00 90.00 90.00
Fractional coordinates of all 5 atoms:
P: 0.000 0.500 0.000
P: 0.000 0.000 0.500
P: 0.500 0.000 0.000
K: 0.500 0.500 0.500
Na: 0.000 0.000 0.000

***

# 2
First-principles (SCAN) data for a PBEsol-optimized structure of Li2V2O5F2, as listed in Alexandria.

Energy: -0.3573 hartree per atom
Energy above the lowest structure with this stoichiometry: 27.6 meV per atom
Symmetry: P-1 (2)

abc: 5.542 5.948 9.914
angles: 75.09 85.43 64.65
Fractional coordinates of all 22 atoms:
Li: 0.079 0.195 0.605
Li: 0.904 0.257 0.911
Li: 0.096 0.743 0.089
Li: 0.921 0.805 0.395
V: 0.412 0.246 0.909
V: 0.481 0.395 0.394
V: 0.519 0.605 0.606
V: 0.588 0.754 0.091
O: 0.289 0.984 0.993
O: 0.262 0.278 0.434
O: 0.590 0.383 0.781
O: 0.701 0.307 0.539
O: 0.255 0.464 0.992
O: 0.745 0.536 0.008
O: 0.299 0.693 0.461
O: 0.410 0.617 0.219
O: 0.738 0.722 0.566
O: 0.711 0.016 0.007
F: 0.159 0.308 0.768
F: 0.749 0.151 0.318
F: 0.251 0.849 0.682
F: 0.841 0.692 0.232

***

# 3
First-principles (SCAN) data for a PBEsol-optimized structure of InPF3, as listed in Alexandria.

Energy: -0.4494 hartree per atom
Symmetry: Pm-3m (221)

abc: 4.277 4.277 4.277
angles: 90.00 90.00 90.00
Each line ends with the local moment (μB).
Fractional coordinates of all 5 atoms:
P: 0.500 0.500 0.500  1.23
F: 0.000 0.500 0.000  0.08
F: 0.000 0.000 0.500  0.08
F: 0.500 0.000 0.000  0.08
In: 0.000 0.000 0.000  0.02

***

# 4
First-principles (SCAN) data for a PBEsol-optimized structure of KFe2Ni, as listed in Alexandria.

Energy: -0.5354 hartree per atom
Energy above the lowest structure with this stoichiometry: 18.8 meV per atom
Formation enthalpy at 0 K: 0.62 eV per atom
Symmetry: P4/mmm (123)

abc: 3.081 3.081 7.472
angles: 90.00 90.00 90.00
Each line ends with the local moment (μB).
Fractional coordinates of all 4 atoms:
Fe: 0.000 0.000 0.644  2.94
Fe: 0.000 0.000 0.356  2.94
K: 0.500 0.500 0.000  0.01
Ni: 0.500 0.500 0.500  0.78

***

# 5
First-principles (SCAN) data for a PBEsol-optimized structure of BiAsRh3, as listed in Alexandria.

Energy: -1.4626 hartree per atom
Formation enthalpy at 0 K: 0.22 eV per atom
Symmetry: Pm-3m (221)

abc: 4.552 4.552 4.552
angles: 90.00 90.00 90.00
Fractional coordinates of all 5 atoms:
As: 0.000 0.000 0.000
Rh: 0.000 0.500 0.000
Rh: 0.000 0.000 0.500
Rh: 0.500 0.000 0.000
Bi: 0.500 0.500 0.500

***

# 6
First-principles (SCAN) data for a PBEsol-optimized structure of BeSb2As, as listed in Alexandria.

Energy: -0.8890 hartree per atom
Energy above the lowest structure with this stoichiometry: 444.2 meV per atom
Symmetry: P4/mmm (123)

abc: 3.461 4.833 4.833
angles: 90.01 90.00 90.00
Fractional coordinates of all 4 atoms:
Sb: 0.000 0.000 0.500
Sb: 0.000 0.500 0.000
As: 0.500 0.000 0.000
Be: 0.500 0.500 0.500

***

# 7
First-principles (SCAN) data for a PBEsol-optimized structure of LiAg2, as listed in Alexandria.

Energy: -0.8022 hartree per atom
Energy above the lowest structure with this stoichiometry: 35.3 meV per atom
Formation enthalpy at 0 K: -0.12 eV per atom
Symmetry: I4/mmm (139)

abc: 2.845 2.845 6.175
angles: 103.32 103.32 90.00
Fractional coordinates of all 3 atoms:
Ag: 0.338 0.338 0.676
Ag: 0.662 0.662 0.324
Li: 0.000 0.000 0.000

***

# 8
First-principles (SCAN) data for a PBEsol-optimized structure of AlCrFeO2, as listed in Alexandria.

Energy: -0.4265 hartree per atom
Symmetry: P4/mmm (123)

abc: 3.583 3.583 4.915
angles: 90.00 90.00 90.00
Each line ends with the local moment (μB).
Fractional coordinates of all 5 atoms:
Cr: 0.000 0.000 0.500  3.43
Fe: 0.000 0.000 0.000  1.76
O: 0.000 0.500 0.000  0.27
O: 0.500 0.000 0.000  0.27
Al: 0.500 0.500 0.500  -0.04

***

# 9
First-principles (SCAN) data for a PBEsol-optimized structure of TlHg2Au, as listed in Alexandria.

Energy: -2.5517 hartree per atom
Energy above the lowest structure with this stoichiometry: 14.9 meV per atom
Formation enthalpy at 0 K: 0.03 eV per atom
Symmetry: Imm2 (44)

abc: 3.316 4.541 6.962
angles: 109.03 103.78 90.00
Fractional coordinates of all 4 atoms:
Tl: 0.551 0.551 0.103
Au: 0.252 0.752 0.504
Hg: 0.943 0.943 0.885
Hg: 0.754 0.254 0.508

***

# 10
First-principles (SCAN) data for a PBEsol-optimized structure of CsH, as listed in Alexandria.

Energy: -0.7672 hartree per atom
Symmetry: Pm-3m (221)

abc: 3.703 3.703 3.703
angles: 90.00 90.00 90.00
Fractional coordinates of all 2 atoms:
Cs: 0.000 0.000 0.000
H: 0.500 0.500 0.500

***

# 11
First-principles (SCAN) data for a PBEsol-optimized structure of Ti2NbTc, as listed in Alexandria.

Energy: -0.9277 hartree per atom
Formation enthalpy at 0 K: -0.18 eV per atom
Symmetry: Fm-3m (225)

abc: 4.443 4.443 4.443
angles: 60.00 60.00 60.00
Fractional coordinates of all 4 atoms:
Nb: 0.000 0.000 0.000
Tc: 0.500 0.500 0.500
Ti: 0.250 0.250 0.250
Ti: 0.750 0.750 0.750

***

# 12
First-principles (SCAN) data for a PBEsol-optimized structure of YZnMo2F, as listed in Alexandria.

Energy: -0.8109 hartree per atom
Symmetry: P4/mmm (123)

abc: 4.027 4.825 4.825
angles: 90.00 90.00 90.00
Fractional coordinates of all 5 atoms:
Y: 0.500 0.500 0.500
Mo: 0.000 0.000 0.500
Mo: 0.000 0.500 0.000
Zn: 0.000 0.000 0.000
F: 0.500 0.000 0.000